1.
This record from the Alexandria database describes a relaxed structure of BaMo2Pt. The functional is PBEsol.

Properties
Symmetry   P4/mmm, No. 123
Energy of formation from the pure elements   598.1 meV per atom
Total DFT energy (no corrections)   -30.26 eV for the cell shown
DOS(E_F)   1.391 states/eV/atom
Spin magnetization   0.00 μB per formula unit

abc: 3.4347 3.4321 7.4762
angles: 90.00 90.00 90.00
Element x y z (fractional)
Mo 0.0000 0.0000 0.1526
Mo 0.0000 0.0000 0.8474
Pt 0.5000 0.5000 0.0000
Ba 0.5000 0.5000 0.5000

2.
This record from the Alexandria database describes a relaxed structure of Ba2MoPt. The functional is PBEsol.

Properties
Symmetry   R-3m, No. 166
Energy of formation from the pure elements   851.6 meV per atom
Total DFT energy (no corrections)   -19.62 eV for the cell shown
DOS(E_F)   0.916 states/eV/atom
Spin magnetization   3.17 μB per formula unit

abc: 3.9996 3.9996 9.2940
angles: 77.57 77.57 60.00
Each line ends with the local moment (μB).
Element x y z (fractional)
Mo 0.5000 0.5000 0.5000  2.75
Pt 0.0000 0.0000 0.0000  0.05
Ba 0.2591 0.2591 0.2226  0.01
Ba 0.7409 0.7409 0.7774  0.01

3.
This record from the Alexandria database describes a relaxed structure of BaMo2Pt. The functional is PBEsol.

Properties
Symmetry   Pm, No. 6
Energy of formation from the pure elements   326.5 meV per atom
Total DFT energy (no corrections)   -31.34 eV for the cell shown
DOS(E_F)   0.519 states/eV/atom
Spin magnetization   0.00 μB per formula unit

abc: 3.2242 3.2226 7.9677
angles: 94.27 90.00 90.00
Element x y z (fractional)
Ba 0.5000 0.5343 0.7400
Pt 0.0000 0.0012 0.4403
Mo 0.0000 0.0252 0.0764
Mo 0.5000 0.4394 0.2433